[1]
# SbTe2SI, relaxed, DFT GGA-PBE
# Formation energy (no corrections): 1.310 eV/atom
# Relative energy among the computed polymorphs: 4.08 eV/f.u.
# Total moment: 0.00 μB/atom
# Theoretical density: 4.6 g cm⁻³
# Final energy: -0.1401 Ry/atom
data_SbTe2SI
_cell_length_a 5.684
_cell_length_b 5.684
_cell_length_c 6.006
_cell_angle_alpha 90.00
_cell_angle_beta 90.00
_cell_angle_gamma 90.00
_space_group_name_H-M_alt 'P 4/m m m'
_space_group_IT_number 123
_space_group_name_Hall '-P 4 2'
loop_
_atom_site_label
_atom_site_fract_x
_atom_site_fract_y
_atom_site_fract_z
Sb1 0.000 0.000 0.000
Te1 0.000 0.500 0.500
S1 0.500 0.500 0.000
I1 0.000 0.000 0.500

[2]
# AlNi12Ge3, relaxed, DFT GGA-PBE
# Total moment: 0.04 μB/atom
# Theoretical density: 8.6 g cm⁻³
# Final energy: -0.4233 Ry/atom
data_AlNi12Ge3
_cell_length_a 3.572
_cell_length_b 3.572
_cell_length_c 14.309
_cell_angle_alpha 90.00
_cell_angle_beta 90.00
_cell_angle_gamma 90.00
_space_group_name_H-M_alt 'P 4/m m m'
_space_group_IT_number 123
_space_group_name_Hall '-P 4 2'
loop_
_atom_site_label
_atom_site_fract_x
_atom_site_fract_y
_atom_site_fract_z
Al1 0.000 0.000 0.000
Ni1 0.000 0.500 0.125
Ni2 0.000 0.500 0.375
Ni3 0.500 0.500 0.000
Ni4 0.500 0.500 0.251
Ni5 0.500 0.500 0.500
Ge1 0.000 0.000 0.248
Ge2 0.000 0.000 0.500

[3]
# LaDyAu2, relaxed, DFT GGA-PBE
# Total moment: 0.00 μB/atom
# Theoretical density: 11.5 g cm⁻³
# Final energy: -0.3564 Ry/atom
data_LaDyAu2
_cell_length_a 3.641
_cell_length_b 3.641
_cell_length_c 7.548
_cell_angle_alpha 90.00
_cell_angle_beta 90.00
_cell_angle_gamma 90.00
_space_group_name_H-M_alt 'P 4/m m m'
_space_group_IT_number 123
_space_group_name_Hall '-P 4 2'
loop_
_atom_site_label
_atom_site_fract_x
_atom_site_fract_y
_atom_site_fract_z
La1 0.000 0.000 0.000
Dy1 0.000 0.000 0.500
Au1 0.500 0.500 0.278

The lowest final energy belongs to which entry?
AlNi12Ge3

What is the formula in the second record?
AlNi12Ge3

Which formula does entry 1 have?
SbTe2SI

Which formula does entry 2 have?
AlNi12Ge3